Here is crystalline CoPdNF2 at its relaxed geometry from Alexandria via LeMat-Bulk. Energies are from PBE+U.

The structure in POSCAR format:
```
CoPdNF2
1.0
4.006 0.000 0.000
0.000 4.006 0.000
0.000 0.000 3.624
Co Pd N F
1 1 1 2
direct
0.000 0.000 0.000
0.500 0.500 0.500
0.000 0.000 0.500
0.000 0.500 0.000
0.500 0.000 0.000
```

Output
Mass density: 6.2 g/cm³
Relative energy among the computed polymorphs: 0.0 meV/atom